Computed, not measured: a geometry-optimized KHg2S2 structure at the PBE level of DFT.

a = 4.398 Å, b = 4.398 Å, c = 13.748 Å
α = 90.00°, β = 90.00°, γ = 90.00°
Space group I4/mmm (No. 139)
Inequivalent atoms, fractional coordinates:
K1 0.000 0.000 0.000
Hg1 0.000 0.500 0.250
S1 0.000 0.000 0.424

energy = -2.323 eV per atom
size of the total moment = 0.00 μB per formula unit
formation energy (no corrections) = -0.332 eV/atom
offset from the most stable computed form = 0.007 eV per atom